(w)
Density functional theory data (PBE-GGA) for a relaxed structure of NdAsPbO.

Values from the calculation:
Mass density in g cm⁻³: 6.45
V in Å³/cell: 227.85

Lattice parameters (Å, degrees): 4.0745 9.1288 6.1259 90.00 90.00 90.00
Element x y z (fractional)
As1 0.0000 0.3436 0.4234
As2 0.0000 0.6564 0.9234
Nd1 0.0000 0.6688 0.4283
Nd2 0.0000 0.3312 0.9283
O1 0.5000 0.2276 0.8843
O2 0.5000 0.7724 0.3843
Pb1 0.5000 0.1421 0.5179
Pb2 0.5000 0.8579 0.0179



(x)
Density functional theory data (PBE-GGA) for a relaxed structure of NdAsPbO.

Values from the calculation:
Mass density in g cm⁻³: 6.57
V in Å³/cell: 223.48

Lattice parameters (Å, degrees): 4.5416 4.5416 10.8351 90.00 90.00 89.51
Element x y z (fractional)
Pb1 0.7500 0.2500 0.5000
Pb2 0.2500 0.7500 0.5000
Nd1 0.7500 0.7500 0.9093
Nd2 0.2500 0.2500 0.0907
As1 0.7500 0.7500 0.3033
As2 0.2500 0.2500 0.6967
O1 0.7500 0.2500 0.0000
O2 0.2500 0.7500 0.0000



The data favor (w); the next most stable structure lies 5.2 kJ/mol of atoms above it.